{"formula": "ErGePd", "functional": "GGA-PBEsol", "state": "optimized geometry", "magnetic_moment_mub_per_atom": 0.000, "total_energy_ev_per_cell": -113.62, "spacegroup": "No. 44", "n_ef_per_ev_fu": 0.99, "formation_energy_ev_per_atom": -1.0372, "lattice": [[4.318, 0.000, 0.000], [0.000, 7.498, 0.000], [-2.159, -3.749, 10.237]], "species": ["Er", "Pd", "Ge", "Ge", "Pd", "Er", "Er", "Er", "Ge", "Pd", "Er", "Pd", "Er", "Ge", "Pd", "Ge", "Ge", "Pd"], "fractional_positions": [[0.667, 0.203, 0.334], [0.268, 0.435, 0.537], [0.764, 0.603, 0.528], [0.065, 0.218, 0.131], [0.572, 0.395, 0.144], [0.333, 0.870, 0.666], [0.500, 0.950, 0.000], [0.833, 0.289, 0.666], [0.594, 0.749, 0.188], [0.732, 0.899, 0.463], [0.167, 0.623, 0.334], [0.428, 0.251, 0.856], [0.000, 0.534, 0.000], [0.406, 0.560, 0.812], [0.895, 0.722, 0.791], [0.236, 0.075, 0.472], [0.935, 0.087, 0.869], [0.105, 0.932, 0.209]]}